# NaCoH3C3O6, relaxed, DFT PBE+U
data_NaCoH3C3O6
_cell_length_a 12.7658
_cell_length_b 9.1149
_cell_length_c 8.9577
_cell_angle_alpha 90.00
_cell_angle_beta 133.50
_cell_angle_gamma 90.00
_space_group_name_H-M_alt 'C 1 2 1'
_space_group_IT_number 5
_space_group_name_Hall 'C 2y'
loop_
_atom_site_label
_atom_site_fract_x
_atom_site_fract_y
_atom_site_fract_z
_atom_site_occupancy
Na1 0.0894 0.0000 0.2391 1
Co1 0.0944 0.3203 0.4347 1
H1 0.0000 0.4467 0.0000 1
H2 0.0000 0.9160 0.5000 1
H3 0.0072 0.6613 0.7739 1
H4 0.2106 0.4088 0.9871 1
C1 0.0000 0.0380 0.5000 1
C2 0.0000 0.3246 0.0000 1
C3 0.1120 0.6522 0.3563 1
C4 0.2290 0.4037 0.8826 1
O1 0.0373 0.2594 0.1556 1
O2 0.0571 0.0993 0.4439 1
O3 0.1179 0.3650 0.6962 1
O4 0.1492 0.9342 0.0485 1
O5 0.1623 0.5312 0.4522 1
O6 0.1846 0.7654 0.3949 1
# - E_tot: -6.358 eV/atom